# PuThPb2

Crystalline PuThPb2 at its relaxed geometry (PBE, Alexandria).

The space group is P4/mmm (No. 123) and the conventional cell measures 3.539, 3.539 and 9.288 Å, with angles of 90.00, 90.00 and 90.00 degrees. The asymmetric unit holds Pu at (0.000, 0.000, 0.000), Th at (0.000, 0.000, 0.500) and Pb at (0.500, 0.500, 0.244).

The value obtained for the electronic total energy is -7.5184 eV per atom. The formation energy comes out at -0.23 eV per atom. The offset from the most stable computed form is 0.00 eV per formula unit. The value obtained for the calculated volume is 29.09 Å³ per atom.



# Sc2CoNi

Crystalline Sc2CoNi at its relaxed geometry (PBE, Alexandria).

The space group is Pmm2 (No. 25) and the conventional cell measures 3.046, 3.998 and 5.354 Å, with angles of 90.00, 90.00 and 90.00 degrees. The asymmetric unit holds Sc at (0.000, 0.000, 0.000), Sc at (0.500, 0.500, 0.379), Co at (0.000, 0.000, 0.515) and Ni at (0.500, 0.500, 0.851).

The value obtained for the electronic total energy is -6.5488 eV per atom. The formation energy comes out at -0.16 eV per atom. The value obtained for the calculated volume is 16.30 Å³ per atom.



# Na2NdSi3Au12

Crystalline Na2NdSi3Au12 at its relaxed geometry (PBE, Alexandria).

The space group is R-3m (No. 166, hexagonal axes) and the conventional cell measures 9.0337, 9.0337 and 16.5429 Å, with angles of 90.00, 90.00 and 120.00 degrees. The asymmetric unit holds Na at (0.0000, 0.0000, 0.0815), Nd at (0.0000, 0.0000, 0.5000), Si at (0.0000, 0.5000, 0.0000), Au at (0.0348, 0.5174, 0.3187) and Au at (0.0505, 0.5253, 0.8543).

The value obtained for the electronic total energy is -3.5866 eV per atom. The calculation puts the uncorrected formation energy at -0.086 eV per atom. The value obtained for the calculated volume is 21.65 Å³ per atom.